Here is a geometry-optimized NaNdCdPb structure from Alexandria via LeMat-Bulk. Energies are from PBE.

Cell lengths 5.417, 5.417, 5.417 Å; angles 60.00, 60.00, 60.00 degrees
Fractional coordinates of all 4 atoms:
Na (0.000, 0.000, 0.000)
Nd (0.500, 0.500, 0.500)
Cd (0.750, 0.750, 0.750)
Pb (0.250, 0.250, 0.250)

Properties
* symmetry: No. 216

***

Here is a geometry-optimized ZnNiP2 structure from Alexandria via LeMat-Bulk. Energies are from PBE.

Cell lengths 6.391, 6.391, 6.391 Å; angles 131.10, 131.10, 71.65 degrees
Fractional coordinates of all 8 atoms:
Zn (0.000, 0.000, 0.000)
Zn (0.750, 0.250, 0.500)
Ni (0.250, 0.750, 0.500)
Ni (0.500, 0.500, 0.000)
P (0.165, 0.625, 0.040)
P (0.375, 0.415, 0.540)
P (0.585, 0.125, 0.960)
P (0.875, 0.835, 0.460)

Properties
* symmetry: No. 122

***

Here is a geometry-optimized Cs6SeBr3Cl2 structure from Alexandria via LeMat-Bulk. Energies are from PBE.

Cell lengths 11.527, 11.527, 10.450 Å; angles 102.52, 102.52, 25.62 degrees
Fractional coordinates of all 12 atoms:
Cs (0.004, 0.004, 0.258)
Cs (0.331, 0.331, 0.423)
Cs (0.331, 0.331, 0.907)
Cs (0.669, 0.669, 0.093)
Cs (0.669, 0.669, 0.577)
Cs (0.996, 0.996, 0.742)
Se (0.500, 0.500, 0.000)
Br (0.165, 0.165, 0.832)
Br (0.500, 0.500, 0.500)
Br (0.835, 0.835, 0.168)
Cl (0.168, 0.168, 0.337)
Cl (0.832, 0.832, 0.663)

Properties
* symmetry: No. 12

***

Here is a geometry-optimized VCrP structure from Alexandria via LeMat-Bulk. Energies are from PBE.

Cell lengths 3.974, 3.974, 2.714 Å; angles 90.00, 90.00, 120.00 degrees
Fractional coordinates of all 3 atoms:
V (0.000, 0.000, 0.000)
Cr (0.667, 0.333, 0.371)
P (0.333, 0.667, 0.414)

Properties
* symmetry: No. 156

***

One value per record, in order, for total DFT energy (no corrections): -2.99; -4.48; -3.06; -8.33 eV/atom.